Crystalline GePOsCl2 at its relaxed geometry. Source: Alexandria, functional PBE-GGA.

a = 4.703 Å, b = 4.703 Å, c = 5.146 Å
α = 90.00°, β = 90.00°, γ = 90.00°
Atoms (fractional coordinates):
Ge 0.000 0.000 0.000
P 0.500 0.500 0.500
Os 0.000 0.000 0.500
Cl 0.000 0.500 0.000
Cl 0.500 0.000 0.000

Properties
* space group: P4/mmm, No. 123
* formation energy without anion corrections: 1.283 eV per atom
* offset from the most stable computed form: 733 meV/atom


Crystalline TaTeAs2Se at its relaxed geometry. Source: Alexandria, functional PBE-GGA.

a = 5.151 Å, b = 5.151 Å, c = 5.117 Å
α = 90.00°, β = 90.00°, γ = 90.00°
Atoms (fractional coordinates):
Ta 0.000 0.000 0.000
Te 0.500 0.500 0.500
As 0.000 0.500 0.500
As 0.500 0.000 0.500
Se 0.500 0.500 0.000

Properties
* space group: P4/mmm, No. 123
* formation energy without anion corrections: 1.565 eV per atom
* offset from the most stable computed form: 1297 meV/atom


Crystalline Li4Tb3ThSe8 at its relaxed geometry. Source: Alexandria, functional PBE-GGA.

a = 8.056 Å, b = 8.056 Å, c = 8.056 Å
α = 60.98°, β = 60.98°, γ = 60.98°
Atoms (fractional coordinates):
Li 0.000 0.000 0.000
Li 0.000 0.500 0.500
Li 0.500 0.000 0.500
Li 0.500 0.500 0.000
Tb 0.000 0.000 0.500
Tb 0.000 0.500 0.000
Tb 0.500 0.000 0.000
Th 0.500 0.500 0.500
Se 0.245 0.245 0.750
Se 0.245 0.750 0.245
Se 0.250 0.755 0.755
Se 0.252 0.252 0.252
Se 0.748 0.748 0.748
Se 0.750 0.245 0.245
Se 0.755 0.250 0.755
Se 0.755 0.755 0.250

Properties
* space group: R-3m, No. 166
* formation energy without anion corrections: -1.639 eV per atom


Crystalline MnTe2Pb at its relaxed geometry. Source: Alexandria, functional PBE-GGA.

a = 9.961 Å, b = 9.961 Å, c = 9.961 Å
α = 21.64°, β = 21.64°, γ = 21.64°
Atoms (fractional coordinates):
Mn 0.000 0.000 0.000
Te 0.388 0.388 0.388
Te 0.612 0.612 0.612
Pb 0.500 0.500 0.500

Properties
* space group: R-3m, No. 166
* formation energy without anion corrections: -0.131 eV per atom


Crystalline GdPuNiPd at its relaxed geometry. Source: Alexandria, functional PBE-GGA.

a = 4.916 Å, b = 4.916 Å, c = 4.916 Å
α = 60.00°, β = 60.00°, γ = 60.00°
Atoms (fractional coordinates):
Gd 0.000 0.000 0.000
Pu 0.500 0.500 0.500
Ni 0.750 0.750 0.750
Pd 0.250 0.250 0.250

Properties
* space group: F-43m, No. 216
* formation enthalpy at 0 K: -340 meV/atom


Crystalline Pr5H12Rh2 at its relaxed geometry. Source: Alexandria, functional PBE-GGA.

a = 6.587 Å, b = 6.587 Å, c = 7.621 Å
α = 103.29°, β = 103.29°, γ = 52.09°
Atoms (fractional coordinates):
Pr 0.000 0.000 0.000
Pr 0.299 0.299 0.655
Pr 0.335 0.335 0.142
Pr 0.665 0.665 0.858
Pr 0.701 0.701 0.345
H 0.011 0.011 0.358
H 0.068 0.591 0.902
H 0.123 0.573 0.418
H 0.409 0.932 0.098
H 0.427 0.877 0.582
H 0.491 0.491 0.637
H 0.509 0.509 0.363
H 0.573 0.123 0.418
H 0.591 0.068 0.902
H 0.877 0.427 0.582
H 0.932 0.409 0.098
H 0.989 0.989 0.642
Rh 0.246 0.754 0.500
Rh 0.754 0.246 0.500

Properties
* space group: C2/m, No. 12
* DFT total energy: -87.0 eV for the cell shown


Crystalline Tb6Pr3Sm2 at its relaxed geometry. Source: Alexandria, functional PBE-GGA.

a = 17.036 Å, b = 17.036 Å, c = 17.036 Å
α = 163.77°, β = 163.77°, γ = 23.03°
Atoms (fractional coordinates):
Tb 0.120 0.620 0.500
Tb 0.193 0.193 0.000
Tb 0.380 0.880 0.500
Tb 0.620 0.120 0.500
Tb 0.807 0.807 0.000
Tb 0.880 0.380 0.500
Pr 0.296 0.296 0.000
Pr 0.500 0.500 0.000
Pr 0.704 0.704 0.000
Sm 0.046 0.046 0.000
Sm 0.954 0.954 0.000

Properties
* space group: I4/mmm, No. 139
* formation enthalpy at 0 K: 257 meV/atom
* offset from the most stable computed form: 97 meV/atom


Crystalline AlFe4Rh at its relaxed geometry. Source: Alexandria, functional PBE-GGA.

a = 2.972 Å, b = 2.972 Å, c = 8.508 Å
α = 90.00°, β = 90.00°, γ = 90.00°
Atoms (fractional coordinates):
Al 0.000 0.000 0.000
Fe 0.000 0.000 0.319
Fe 0.000 0.000 0.681
Fe 0.500 0.500 0.165
Fe 0.500 0.500 0.835
Rh 0.500 0.500 0.500

Properties
* space group: P4/mmm, No. 123
* formation enthalpy at 0 K: -135 meV/atom
* offset from the most stable computed form: 0 meV/atom


Crystalline Zr6Tl2Mo at its relaxed geometry. Source: Alexandria, functional PBE-GGA.

a = 8.201 Å, b = 8.201 Å, c = 8.201 Å
α = 144.90°, β = 132.80°, γ = 60.16°
Atoms (fractional coordinates):
Zr 0.103 0.353 0.750
Zr 0.240 0.000 0.240
Zr 0.398 0.647 0.750
Zr 0.602 0.353 0.250
Zr 0.760 0.000 0.760
Zr 0.897 0.647 0.250
Tl 0.321 0.821 0.500
Tl 0.679 0.179 0.500
Mo 0.000 0.500 0.500

Properties
* space group: Immm, No. 71
* formation enthalpy at 0 K: 320 meV/atom


Crystalline Pm2ScCu4 at its relaxed geometry. Source: Alexandria, functional PBE-GGA.

a = 6.923 Å, b = 6.923 Å, c = 6.923 Å
α = 137.72°, β = 137.72°, γ = 61.33°
Atoms (fractional coordinates):
Pm 0.212 0.212 0.000
Pm 0.788 0.788 0.000
Sc 0.500 0.500 0.000
Cu 0.104 0.604 0.500
Cu 0.396 0.896 0.500
Cu 0.604 0.104 0.500
Cu 0.896 0.396 0.500

Properties
* space group: I4/mmm, No. 139
* formation enthalpy at 0 K: -4 meV/atom


Crystalline Ba4MgCr at its relaxed geometry. Source: Alexandria, functional PBE-GGA.

a = 7.397 Å, b = 7.397 Å, c = 7.397 Å
α = 60.00°, β = 60.00°, γ = 60.00°
Atoms (fractional coordinates):
Ba 0.125 0.125 0.125
Ba 0.125 0.125 0.625
Ba 0.125 0.625 0.125
Ba 0.625 0.125 0.125
Mg 0.500 0.500 0.500
Cr 0.750 0.750 0.750

Properties
* space group: F-43m, No. 216
* formation enthalpy at 0 K: 742 meV/atom


Crystalline KIr2Cl at its relaxed geometry. Source: Alexandria, functional PBE-GGA.

a = 2.585 Å, b = 5.270 Å, c = 6.648 Å
α = 90.00°, β = 90.00°, γ = 90.00°
Atoms (fractional coordinates):
K 0.000 0.000 0.000
Ir 0.500 0.235 0.500
Ir 0.500 0.765 0.500
Cl 0.000 0.500 0.000

Properties
* space group: Pmmm, No. 47
* formation energy without anion corrections: 0.735 eV per atom
* offset from the most stable computed form: 688 meV/atom